{"formula": "NbAl3Cr", "functional": "meta-GGA SCAN", "state": "PBEsol geometry", "density_g_cm3": 4.30, "space_group": "Pm-3m", "formation_energy_ev_per_atom": 0.61, "lattice_angstrom": [[4.4336, 0.0000, 0.0000], [0.0000, 4.4336, 0.0000], [0.0000, 0.0000, 4.4336]], "species": ["Cr", "Nb", "Al", "Al", "Al"], "frac_coords": [[0.0000, 0.0000, 0.0000], [0.5000, 0.5000, 0.5000], [0.0000, 0.5000, 0.0000], [0.0000, 0.0000, 0.5000], [0.5000, 0.0000, 0.0000]]}



{"formula": "AlCr2Ni", "functional": "meta-GGA SCAN", "state": "PBEsol geometry", "density_g_cm3": 6.82, "space_group": "Cmm2", "formation_energy_ev_per_atom": -0.05, "lattice_angstrom": [[2.4862, -0.0017, 0.0000], [-0.6631, 2.3961, 0.0000], [0.0000, 0.0000, 7.7497]], "species": ["Ni", "Al", "Cr", "Cr"], "frac_coords": [[0.0000, 0.0000, 0.5020], [0.5000, 0.5000, 0.2598], [0.0000, 0.0000, 0.9931], [0.5000, 0.5000, 0.7450]]}



{"formula": "Al2CrNi", "functional": "meta-GGA SCAN", "state": "PBEsol geometry", "density_g_cm3": 5.50, "space_group": "Cm", "formation_energy_ev_per_atom": -0.26, "lattice_angstrom": [[2.6264, 0.0000, 0.0000], [0.0000, 4.3797, -0.0092], [-1.3132, -1.6733, 4.3283]], "species": ["Ni", "Al", "Al", "Cr"], "frac_coords": [[0.2422, 0.8190, 0.4844], [0.9864, 0.9264, 0.9727], [0.7600, 0.3175, 0.5199], [0.5115, 0.4371, 0.0230]]}



{"formula": "AlCrNi2", "functional": "meta-GGA SCAN", "state": "PBEsol geometry", "density_g_cm3": 6.96, "space_group": "I-4m2", "formation_energy_ev_per_atom": -0.30, "lattice_angstrom": [[3.5350, -0.0001, -0.0001], [-0.0001, 3.5411, 0.0001], [-1.7675, -1.7704, 3.7443]], "species": ["Ni", "Ni", "Al", "Cr"], "frac_coords": [[0.0000, 0.9999, 0.0000], [0.7500, 0.2501, 0.5001], [0.4999, 0.4998, 0.9999], [0.2501, 0.7500, 0.5001]]}



{"formula": "Al2CrNi", "functional": "meta-GGA SCAN", "state": "PBEsol geometry", "density_g_cm3": 5.26, "space_group": "F-43m", "formation_energy_ev_per_atom": -0.27, "lattice_angstrom": [[4.1896, 0.0000, 0.0000], [2.0948, 3.6283, 0.0000], [2.0948, 1.2094, 3.4208]], "species": ["Ni", "Al", "Al", "Cr"], "frac_coords": [[0.7500, 0.7500, 0.7500], [0.0000, 0.0000, 0.0000], [0.2500, 0.2500, 0.2500], [0.5000, 0.5000, 0.5000]]}



{"formula": "Al2CrNi", "functional": "meta-GGA SCAN", "state": "PBEsol geometry", "density_g_cm3": 5.52, "space_group": "P4/mmm", "formation_energy_ev_per_atom": -0.48, "lattice_angstrom": [[3.0849, 0.0000, 0.0000], [0.0000, 4.0083, 0.0000], [0.0000, 0.0000, 4.0083]], "species": ["Ni", "Al", "Al", "Cr"], "frac_coords": [[0.5000, 0.0000, 0.0000], [0.0000, 0.0000, 0.5000], [0.0000, 0.5000, 0.0000], [0.5000, 0.5000, 0.5000]]}



{"formula": "AlCrNi2", "functional": "meta-GGA SCAN", "state": "PBEsol geometry", "density_g_cm3": 7.17, "space_group": "Cm", "formation_energy_ev_per_atom": -0.24, "lattice_angstrom": [[-2.0251, -1.1634, -1.0325], [0.1241, -2.9909, 3.1269], [-1.5143, 3.4426, 2.2486]], "species": ["Ni", "Ni", "Al", "Cr"], "frac_coords": [[0.9992, 0.0236, 0.9984], [0.2503, 0.7314, 0.5007], [0.5044, 0.5310, 0.0088], [0.7461, 0.2140, 0.4921]]}



{"formula": "Al19CrO30", "functional": "meta-GGA SCAN", "state": "PBEsol geometry", "formation_energy_uncorrected_ev_per_atom": -3.326, "density_g_cm3": 4.03, "space_group": "P1", "lattice_angstrom": [[4.7837, 0.0002, 0.0000], [2.3910, 4.5588, 0.0013], [0.0043, 1.7117, 19.7489]], "species": ["Al", "Al", "Al", "Al", "Al", "Al", "Al", "Al", "Al", "Al", "Al", "Al", "Al", "Al", "Al", "Al", "Al", "Al", "Al", "Cr", "O", "O", "O", "O", "O", "O", "O", "O", "O", "O", "O", "O", "O", "O", "O", "O", "O", "O", "O", "O", "O", "O", "O", "O", "O", "O", "O", "O", "O", "O"], "frac_coords": [[0.5052, 0.9883, 0.9290], [0.3930, 0.2133, 0.7696], [0.4071, 0.1852, 0.6291], [0.8067, 0.3844, 0.8284], [0.2928, 0.4140, 0.4705], [0.3072, 0.3853, 0.3300], [0.9930, 0.0139, 0.5701], [0.1074, 0.7848, 0.7285], [0.0927, 0.8154, 0.8688], [0.0070, 0.9854, 0.4297], [0.9081, 0.1852, 0.1310], [0.8929, 0.2135, 0.2712], [0.1931, 0.6132, 0.1713], [0.6930, 0.6135, 0.6698], [0.5931, 0.8138, 0.3708], [0.4933, 0.0147, 0.0717], [0.7072, 0.5855, 0.5294], [0.6074, 0.7847, 0.2304], [0.2095, 0.5852, 0.0306], [0.7895, 0.4225, 0.9698], [0.5443, 0.2997, 0.5498], [0.8320, 0.6415, 0.8864], [0.3670, 0.9602, 0.7105], [0.7645, 0.1564, 0.9080], [0.4276, 0.8385, 0.5885], [0.2550, 0.1000, 0.8492], [0.0560, 0.4991, 0.2508], [0.3350, 0.7081, 0.9499], [0.1444, 0.0995, 0.3505], [0.7754, 0.7672, 0.0117], [0.3722, 0.5608, 0.8103], [0.9724, 0.3605, 0.6108], [0.1726, 0.9604, 0.2120], [0.4332, 0.4385, 0.6882], [0.0333, 0.2386, 0.4888], [0.9666, 0.7607, 0.5111], [0.2415, 0.2371, 0.9896], [0.5667, 0.5605, 0.3119], [0.0278, 0.6384, 0.3892], [0.8280, 0.0383, 0.7872], [0.6274, 0.4380, 0.1901], [0.6519, 0.3004, 0.0533], [0.8557, 0.8993, 0.6494], [0.7450, 0.8984, 0.1512], [0.9447, 0.4988, 0.7491], [0.5723, 0.1607, 0.4115], [0.6336, 0.0380, 0.2895], [0.2342, 0.8392, 0.0897], [0.1646, 0.3617, 0.1121], [0.4556, 0.6997, 0.4502]]}



{"formula": "Al2CrO5", "functional": "meta-GGA SCAN", "state": "PBEsol geometry", "formation_energy_uncorrected_ev_per_atom": -2.891, "density_g_cm3": 3.92, "e_above_lowest_polymorph_mev_per_atom": 13.6, "space_group": "Cmcm", "lattice_angstrom": [[3.5683, 0.0000, 0.0000], [-1.7841, 4.6686, 0.0000], [0.0000, 0.0000, 9.4645]], "species": ["Al", "Al", "Al", "Al", "Cr", "Cr", "O", "O", "O", "O", "O", "O", "O", "O", "O", "O"], "frac_coords": [[0.1411, 0.2823, 0.4405], [0.1411, 0.2823, 0.0595], [0.8589, 0.7177, 0.9405], [0.8589, 0.7177, 0.5595], [0.1832, 0.3663, 0.7500], [0.8168, 0.6337, 0.2500], [0.2437, 0.4874, 0.2500], [0.7563, 0.5126, 0.7500], [0.0470, 0.0939, 0.8834], [0.0470, 0.0939, 0.6166], [0.9530, 0.9061, 0.3834], [0.9530, 0.9061, 0.1166], [0.3119, 0.6239, 0.5723], [0.3119, 0.6239, 0.9277], [0.6881, 0.3761, 0.0723], [0.6881, 0.3761, 0.4277]]}



{"formula": "Al3CrO6", "functional": "meta-GGA SCAN", "state": "PBEsol geometry", "formation_energy_uncorrected_ev_per_atom": -3.155, "density_g_cm3": 4.31, "space_group": "R3", "lattice_angstrom": [[-0.4881, -4.8004, -0.0869], [3.8356, -2.8002, -0.8581], [1.9566, -2.6967, 3.9758]], "species": ["Cr", "Al", "Al", "Al", "O", "O", "O", "O", "O", "O"], "frac_coords": [[0.3507, 0.3507, 0.9478], [0.1490, 0.1490, 0.5530], [0.6506, 0.6506, 0.0483], [0.8530, 0.8530, 0.4411], [0.2535, 0.5591, 0.2502], [0.9372, 0.2535, 0.2502], [0.5591, 0.9372, 0.2502], [0.0464, 0.7645, 0.7426], [0.4465, 0.0464, 0.7426], [0.7645, 0.4465, 0.7426]]}



{"formula": "Al2CrO5", "functional": "meta-GGA SCAN", "state": "PBEsol geometry", "formation_energy_uncorrected_ev_per_atom": -2.905, "density_g_cm3": 4.26, "e_above_lowest_polymorph_mev_per_atom": 0.0, "space_group": "C2/c", "lattice_angstrom": [[4.8597, 0.0000, 0.0000], [-2.4299, 4.7447, 0.0166], [0.0000, -2.4836, 6.2747]], "species": ["Al", "Al", "Al", "Al", "Cr", "Cr", "O", "O", "O", "O", "O", "O", "O", "O", "O", "O"], "frac_coords": [[0.6194, 0.2594, 0.2170], [0.3600, 0.7406, 0.2830], [0.6400, 0.2594, 0.7170], [0.3806, 0.7406, 0.7830], [0.0000, 0.0000, 0.0000], [0.0000, 0.0000, 0.5000], [0.3390, 0.3764, 0.1527], [0.4277, 0.1680, 0.4471], [0.7402, 0.1680, 0.9471], [0.9626, 0.6236, 0.3473], [0.0374, 0.3764, 0.6527], [0.8014, 0.0000, 0.2500], [0.2598, 0.8320, 0.0529], [0.5723, 0.8320, 0.5529], [0.6610, 0.6236, 0.8473], [0.1986, 0.0000, 0.7500]]}



{"formula": "AlCrO3", "functional": "meta-GGA SCAN", "state": "PBEsol geometry", "formation_energy_uncorrected_ev_per_atom": -1.998, "density_g_cm3": 4.50, "space_group": "Pm-3m", "lattice_angstrom": [[3.6053, 0.0000, 0.0000], [0.0000, 3.6053, 0.0000], [0.0000, 0.0000, 3.6053]], "species": ["Cr", "Al", "O", "O", "O"], "frac_coords": [[0.5000, 0.5000, 0.5000], [0.0000, 0.0000, 0.0000], [0.0000, 0.5000, 0.0000], [0.0000, 0.0000, 0.5000], [0.5000, 0.0000, 0.0000]]}